A relaxed Mg2Hg2Te crystal, computed with PBE.

a b c (Å): 7.6101 7.6101 4.4602
angles (deg): 90.00 90.00 90.00
With the nearest neighbours (Å) after each atom.
Fractional positions:
Mg 0.1485 0.3515 0.0000  2 Te 2.90, 6 Hg 3.08-3.20, 1 Mg 3.20
Mg 0.3515 0.8515 0.0000  2 Te 2.90, 6 Hg 3.08-3.20, 1 Mg 3.20
Mg 0.6485 0.1485 0.0000  2 Te 2.90, 6 Hg 3.08-3.20, 1 Mg 3.20
Mg 0.8515 0.6485 0.0000  2 Te 2.90, 6 Hg 3.08-3.20, 1 Mg 3.20
Hg 0.1535 0.6535 0.5000  6 Mg 3.08-3.20, 1 Hg 3.30
Hg 0.3465 0.1535 0.5000  6 Mg 3.08-3.20, 1 Hg 3.30
Hg 0.6535 0.8465 0.5000  6 Mg 3.08-3.20, 1 Hg 3.30
Hg 0.8465 0.3465 0.5000  6 Mg 3.08-3.20, 1 Hg 3.30
Te 0.0000 0.0000 0.0000  4 Mg 2.90
Te 0.5000 0.5000 0.0000  4 Mg 2.90

The value obtained for the excess energy over the best structure of this formula in the dataset is 0.000 eV/atom. Its total magnetic moment is 0.0 μB per formula unit. Its density of states at the Fermi level is 4.1 states/eV per cell. Its volume is 258 Å³ per cell. The total energy comes out at -16.1 eV/cell. As for the formation energy without anion corrections: -5.1 kcal/mol of atoms.